(1)
Crystalline Er2BSbRh6 at its relaxed geometry. Source: Alexandria, functional PBE.

Cell lengths 5.8344, 6.8043, 7.1145 Å; angles 48.06, 65.98, 90.17 degrees
Last column: nearest neighbours and their distance in Å.
Element x y z (fractional)
Er: 0.7613 0.3096 0.4796  9 Rh 2.88-3.08, 1 Sb 3.21
Er: 0.2387 0.6904 0.5203  9 Rh 2.88-3.08, 1 Sb 3.21
B: 0.5000 0.5000 0.0000  6 Rh 2.05-2.08
Sb: 0.0000 0.0000 0.0000  6 Rh 2.58-2.63
Rh: 0.2859 0.3103 0.4314  1 B 2.05
Rh: 0.8341 0.7830 0.8587  1 B 2.08
Rh: 0.3073 0.7827 0.8606  1 B 2.08
Rh: 0.6927 0.2173 0.1394  1 B 2.08
Rh: 0.1659 0.2170 0.1413  1 B 2.08
Rh: 0.7141 0.6897 0.5686  1 B 2.05

Output
Crystal system: triclinic
Total energy (eV per atom): -7.00

***

(2)
Crystalline Zr2NpAg2S6 at its relaxed geometry. Source: Alexandria, functional PBE.

Cell lengths 6.6136, 6.6136, 6.7293 Å; angles 92.38, 92.38, 119.88 degrees
Last column: nearest neighbours and their distance in Å.
Element x y z (fractional)
Zr: 0.3406 0.6594 0.5000  6 S 2.58-2.64
Zr: 0.6594 0.3406 0.5000  6 S 2.58-2.64
Np: 0.0000 0.0000 0.5000  6 S 2.74-2.76
Ag: 0.8750 0.1250 0.0000  2 S 2.46
Ag: 0.1250 0.8750 0.0000  2 S 2.46
S: 0.6736 0.6736 0.7243  2 Zr 2.58, 1 Np 2.74
S: 0.0167 0.3721 0.7164  1 Ag 2.46, 2 Zr 2.60-2.64, 1 Np 2.76
S: 0.3264 0.3264 0.2757  2 Zr 2.58, 1 Np 2.74
S: 0.3721 0.0167 0.7164  1 Ag 2.46, 2 Zr 2.60-2.64, 1 Np 2.76
S: 0.9833 0.6279 0.2836  1 Ag 2.46, 2 Zr 2.60-2.64, 1 Np 2.76
S: 0.6279 0.9833 0.2836  1 Ag 2.46, 2 Zr 2.60-2.64, 1 Np 2.76

Output
Crystal system: monoclinic
Total energy (eV per atom): -6.57

***

(3)
Crystalline YTaPb2 at its relaxed geometry. Source: Alexandria, functional PBE.

Cell lengths 5.1007, 3.3185, 5.9633 Å; angles 87.33, 90.00, 90.00 degrees
Last column: nearest neighbours and their distance in Å.
Element x y z (fractional)
Pb: 0.0000 0.0725 0.0075  2 Ta 3.00, 4 Pb 3.17-3.32, 2 Y 3.19
Pb: 0.0000 0.4275 0.4925  2 Ta 3.00, 4 Pb 3.17-3.32, 2 Y 3.19
Ta: 0.5000 0.2500 0.2500  4 Pb 3.00, 2 Ta 3.32, 2 Y 3.34
Y: 0.5000 0.7500 0.7500  4 Pb 3.19, 2 Y 3.32, 4 Ta 3.34-3.48

Output
Crystal system: monoclinic
Formation enthalpy at 0 K (eV per formula unit): 0.8
Total energy (eV per atom): -6.24

***

Number 3 is which compound? YTaPb2

***

Which of these has the highest total energy? YTaPb2

***

Which formula does entry 3 have? YTaPb2

***

Repeat the third record exactly.
Crystalline YTaPb2 at its relaxed geometry. Source: Alexandria, functional PBE.

Cell lengths 5.1007, 3.3185, 5.9633 Å; angles 87.33, 90.00, 90.00 degrees
Last column: nearest neighbours and their distance in Å.
Element x y z (fractional)
Pb: 0.0000 0.0725 0.0075  2 Ta 3.00, 4 Pb 3.17-3.32, 2 Y 3.19
Pb: 0.0000 0.4275 0.4925  2 Ta 3.00, 4 Pb 3.17-3.32, 2 Y 3.19
Ta: 0.5000 0.2500 0.2500  4 Pb 3.00, 2 Ta 3.32, 2 Y 3.34
Y: 0.5000 0.7500 0.7500  4 Pb 3.19, 2 Y 3.32, 4 Ta 3.34-3.48

Output
Crystal system: monoclinic
Formation enthalpy at 0 K (eV per formula unit): 0.8
Total energy (eV per atom): -6.24